Record 1
DFT (PBE-GGA) results for a relaxed structure of BaMn3In.

The space group is Pm-3m (No. 221) and the conventional cell measures 5.5072, 5.5072 and 5.5072 Å, with angles of 90.00, 90.00 and 90.00 degrees. The asymmetric unit holds Ba at (0.0000, 0.0000, 0.0000), Mn at (0.0000, 0.0000, 0.5000) and In at (0.5000, 0.5000, 0.5000).

The calculation puts the relative energy among the computed polymorphs at 1022 meV per atom. As for the electronic total energy: -4.6005 eV/atom. As for the crystal system: cubic. Its density of states at the Fermi level is 3.72 states/eV/cell.

=====

Record 2
DFT (PBE-GGA) results for a relaxed structure of Ba2MnIn4.

The space group is I4/mmm (No. 139) and the conventional cell measures 5.1281, 5.1281 and 17.8399 Å, with angles of 90.00, 90.00 and 90.00 degrees. The asymmetric unit holds Ba at (0.0000, 0.0000, 0.1532), Mn at (0.0000, 0.0000, 0.5000), In at (0.0000, 0.0000, 0.3564) and In at (0.0000, 0.5000, 0.0000).

As for the electronic total energy: -3.5560 eV/atom. As for the crystal system: tetragonal. Its density of states at the Fermi level is 13.43 states/eV/cell.

=====

Record 3
DFT (PBE-GGA) results for a relaxed structure of BaMnIn.

The space group is I4mm (No. 107) and the conventional cell measures 3.7944, 3.7944 and 12.4408 Å, with angles of 90.00, 90.00 and 90.00 degrees. The asymmetric unit holds Ba at (0.0000, 0.0000, 0.0000), Mn at (0.0000, 0.0000, 0.7100) and In at (0.0000, 0.0000, 0.2904).

As for the electronic total energy: -4.4181 eV/atom. As for the crystal system: tetragonal. Its density of states at the Fermi level is 4.14 states/eV/cell.

=====

Record 4
DFT (PBE-GGA) results for a relaxed structure of BaMnIn3.

The space group is Pm-3m (No. 221) and the conventional cell measures 5.1381, 5.1381 and 5.1381 Å, with angles of 90.00, 90.00 and 90.00 degrees. The asymmetric unit holds Ba at (0.0000, 0.0000, 0.0000), Mn at (0.5000, 0.5000, 0.5000) and In at (0.0000, 0.5000, 0.5000).

As for the electronic total energy: -3.9775 eV/atom. As for the crystal system: cubic. Its density of states at the Fermi level is 1.93 states/eV/cell.

=====

Record 5
DFT (PBE-GGA) results for a relaxed structure of BaMnIn.

The space group is F-43m (No. 216) and the conventional cell measures 7.7438, 7.7438 and 7.7438 Å, with angles of 90.00, 90.00 and 90.00 degrees. The asymmetric unit holds Ba at (0.0000, 0.0000, 0.0000), Mn at (0.2500, 0.2500, 0.7500) and In at (0.2500, 0.2500, 0.2500).

As for the electronic total energy: -3.8168 eV/atom. As for the crystal system: cubic. Its density of states at the Fermi level is 11.22 states/eV/cell.

=====

Record 6
DFT (PBE-GGA) results for a relaxed structure of BaMnIn.

The space group is F-43m (No. 216) and the conventional cell measures 7.3447, 7.3447 and 7.3447 Å, with angles of 90.00, 90.00 and 90.00 degrees. The asymmetric unit holds Ba at (0.0000, 0.0000, 0.0000), Mn at (0.2500, 0.2500, 0.2500) and In at (0.0000, 0.0000, 0.5000).

As for the electronic total energy: -4.2785 eV/atom. As for the crystal system: cubic. Its density of states at the Fermi level is 10.22 states/eV/cell.

=====

Record 7
DFT (PBE-GGA) results for a relaxed structure of BaMnIn.

The space group is P-6m2 (No. 187) and the conventional cell measures 4.8590, 4.8590 and 4.8060 Å, with angles of 90.00, 90.00 and 120.00 degrees. The asymmetric unit holds Ba at (0.0000, 0.0000, 0.0000), Mn at (0.3333, 0.6667, 0.5000) and In at (0.6667, 0.3333, 0.5000).

As for the electronic total energy: -4.4885 eV/atom. As for the crystal system: hexagonal. Its density of states at the Fermi level is 2.34 states/eV/cell.

=====

Record 8
DFT (PBE-GGA) results for a relaxed structure of BaMnIn3.

The space group is Pm-3m (No. 221) and the conventional cell measures 6.8456, 6.8456 and 6.8456 Å, with angles of 90.00, 90.00 and 90.00 degrees. The asymmetric unit holds Ba at (0.0000, 0.0000, 0.0000), Mn at (0.5000, 0.5000, 0.5000) and In at (0.0000, 0.0000, 0.5000).

As for the electronic total energy: -2.5379 eV/atom. As for the crystal system: cubic. Its density of states at the Fermi level is 17.37 states/eV/cell.

=====

Record 9
DFT (PBE-GGA) results for a relaxed structure of BaMn3In.

The space group is Pm-3m (No. 221) and the conventional cell measures 5.2315, 5.2315 and 5.2315 Å, with angles of 90.00, 90.00 and 90.00 degrees. The asymmetric unit holds Ba at (0.0000, 0.0000, 0.0000), Mn at (0.0000, 0.5000, 0.5000) and In at (0.5000, 0.5000, 0.5000).

The calculation puts the relative energy among the computed polymorphs at 0 meV per atom. As for the electronic total energy: -5.6228 eV/atom. As for the crystal system: cubic. Its density of states at the Fermi level is 4.25 states/eV/cell.

=====

Record 10
DFT (PBE-GGA) results for a relaxed structure of Ba4MnIn.

The space group is F-43m (No. 216) and the conventional cell measures 10.2771, 10.2771 and 10.2771 Å, with angles of 90.00, 90.00 and 90.00 degrees. The asymmetric unit holds Ba at (0.1247, 0.1247, 0.1247), Mn at (0.0000, 0.0000, 0.5000) and In at (0.2500, 0.2500, 0.7500).

As for the electronic total energy: -2.6289 eV/atom. As for the crystal system: cubic. Its density of states at the Fermi level is 37.19 states/eV/cell.

=====

Record 11
DFT (PBE-GGA) results for a relaxed structure of BaNaMnIn2.

The space group is P4/mmm (No. 123) and the conventional cell measures 6.3377, 6.3377 and 6.2180 Å, with angles of 90.00, 90.00 and 90.00 degrees. The asymmetric unit holds Ba at (0.0000, 0.0000, 0.0000), Na at (0.0000, 0.0000, 0.5000), Mn at (0.5000, 0.5000, 0.5000) and In at (0.0000, 0.5000, 0.0000).

As for the electronic total energy: -2.3627 eV/atom. As for the crystal system: tetragonal. Its density of states at the Fermi level is 6.58 states/eV/cell.

=====

Formation energy from the elements: 1.833; -0.132; 0.192; -0.116; 0.793; 0.332; 0.122; 1.324; 0.811; 0.638; 1.215 (eV per atom)
Total magnetic moment: 12.3; 2.0; 7.5; 0.0; 15.8; 16.0; 3.6; 3.5; 12.1; 13.8; 3.9 (Bohr magnetons per cell)